[1]
KP2BrCl: optimized geometry, PBE.

POSCAR file:
```
KP2BrCl
1.0
6.882 0.000 0.000
0.000 6.882 0.000
0.000 0.000 5.618
K P Br Cl
1 2 1 1
Cartesian
0.000 0.000 0.000 K
0.000 3.441 0.000 P
3.441 0.000 0.000 P
3.441 3.441 2.809 Br
0.000 0.000 2.809 Cl
```

ΔE_f (raw), eV/atom: 0.9907
Magnetic moment, μB per atom: 0.9876
Space group: P4/mmm
Total DFT energy (no corrections), eV/atom: -2.10
Energy above the lowest structure with this stoichiometry, eV/f.u.: 3.063

[2]
LiLaDyNi: optimized geometry, PBE.

POSCAR file:
```
LiLaDyNi
1.0
0.000 3.573 3.573
3.573 0.000 3.573
3.573 3.573 0.000
Li La Dy Ni
1 1 1 1
Cartesian
0.000 0.000 0.000 Li
1.787 1.787 1.787 La
5.360 5.360 5.360 Dy
3.573 3.573 3.573 Ni
```

Magnetic moment, μB per atom: 0.0000
Space group: F-43m
Total DFT energy (no corrections), eV/atom: -4.38

[3]
TiAgOs2: optimized geometry, PBE.

POSCAR file:
```
TiAgOs2
1.0
-1.949 1.949 9.198
1.949 -1.949 9.198
1.949 1.949 -9.198
Ti Ag Os
2 2 4
Cartesian
0.000 0.000 0.000 Ti
0.000 1.949 4.599 Ti
1.949 0.000 4.599 Ag
0.000 0.000 9.198 Ag
2.924 0.727 -2.300 Os
0.727 0.975 2.300 Os
-0.975 1.222 6.899 Os
1.222 0.975 11.498 Os
```

Magnetic moment, μB per atom: 0.0000
Space group: I-42d
Total DFT energy (no corrections), eV/atom: -7.59
Energy above the lowest structure with this stoichiometry, eV/f.u.: 1.352

[4]
TaNb2NiH: optimized geometry, PBE.

POSCAR file:
```
TaNb2NiH
1.0
4.411 0.000 0.000
0.000 4.411 0.000
0.000 0.000 3.477
Ta Nb Ni H
1 2 1 1
Cartesian
0.000 0.000 0.000 Ta
0.000 2.205 1.739 Nb
2.205 0.000 1.739 Nb
2.205 2.205 0.000 Ni
2.205 2.205 1.739 H
```

Magnetic moment, μB per atom: 0.0000
Space group: P4/mmm
Total DFT energy (no corrections), eV/atom: -8.33
Energy above the lowest structure with this stoichiometry, eV/f.u.: 0.000